! Ho2SiO | the Alexandria database | PBE-GGA | relaxed; values from VASP
! E_tot, eV/cell: -105.0
! ΔE_f (raw), eV per atom: -1.678
! Energy above the most stable polymorph in this dataset, meV per atom: 0
! Space-group type: P2/c (13)
&SYSTEM
  ibrav = 0, nat = 16, ntyp = 3
/
ATOMIC_SPECIES
Ho 164.93 Ho.upf
Si 28.09 Si.upf
O 16.00 O.upf
ATOMIC_POSITIONS angstrom
Ho -0.008 1.230 1.104
Ho -2.504 4.376 6.297
Ho -2.496 1.292 8.913
Ho 0.000 4.314 3.721
Ho 0.705 1.292 6.664
Ho 3.201 4.314 1.472
Ho 3.209 1.230 4.088
Ho 0.713 4.376 9.280
Si 0.363 1.515 3.880
Si -2.133 4.092 9.073
Si 2.838 1.515 1.312
Si 0.342 4.092 6.505
O -2.805 0.996 6.462
O -0.310 4.610 1.270
O 1.014 0.996 9.115
O 3.510 4.610 3.922
CELL_PARAMETERS angstrom
5.697 0.000 0.000
0.000 5.606 0.000
-4.992 0.000 10.385